The following is a PBE calculation of a relaxed structure of LiNiH3, from Alexandria via LeMat-Bulk.

## Properties
- Total moment: 0.00 μB per formula unit
- Raw total energy: -37.19 eV for the cell shown

Cell lengths 2.9065, 2.9065, 9.4078 Å; angles 90.00, 90.00, 120.00 degrees
Sites, in units of the cell vectors:
H (0.0000, 0.0000, 0.7500)
H (0.6667, 0.3333, 0.4123)
H (0.0000, 0.0000, 0.2500)
H (0.3333, 0.6667, 0.9123)
H (0.3333, 0.6667, 0.5877)
H (0.6667, 0.3333, 0.0877)
Ni (0.3333, 0.6667, 0.7500)
Ni (0.6667, 0.3333, 0.2500)
Li (0.0000, 0.0000, 0.5000)
Li (0.0000, 0.0000, 0.0000)